# 1
Compound: Y3BOs
Source: the Alexandria database
Functional: GGA-PBEsol
Structure: optimized geometry

The calculated total energy comes out at -7.55 eV/atom.

Geometry as POSCAR:
```
Y3BOs
1.0
-1.294 -1.053 -4.486
0.573 -4.660 0.928
-4.572 -0.287 1.386
Y B Os
3 1 1
Cartesian
0.287 -2.330 0.464
-2.286 -0.143 0.693
-0.647 -0.526 -2.243
0.000 0.000 0.000
-2.646 -3.000 -1.086
```

# 2
Compound: BIr2Br
Source: the Alexandria database
Functional: GGA-PBEsol
Structure: optimized geometry

The value obtained for the uncorrected formation energy is 1.29 eV per atom.

Geometry as POSCAR:
```
BIr2Br
1.0
4.226 0.000 0.000
2.113 3.660 0.000
2.113 1.220 3.451
B Ir Br
1 2 1
Cartesian
0.000 0.000 0.000
2.113 1.220 0.863
6.339 3.660 2.588
4.226 2.440 1.725
```

# 3
Compound: CaBe4P
Source: the Alexandria database
Functional: GGA-PBEsol
Structure: optimized geometry

The calculated total energy comes out at -3.60 eV/atom.

Geometry as POSCAR:
```
CaBe4P
1.0
4.747 0.000 0.000
2.374 4.111 0.000
2.374 1.370 3.876
P Ca Be
1 1 4
Cartesian
0.000 0.000 0.000
7.121 4.111 2.907
3.580 2.067 1.462
4.747 2.741 3.367
5.914 2.067 1.462
4.747 4.088 1.462
```

# 4
Compound: La2TaW
Source: the Alexandria database
Functional: GGA-PBEsol
Structure: optimized geometry

The calculated total energy comes out at -8.48 eV/atom.

Geometry as POSCAR:
```
La2TaW
1.0
-0.996 2.434 1.467
-1.914 -1.323 -1.913
-3.614 -6.273 7.955
La Ta W
2 1 1
Cartesian
-0.859 -1.491 1.891
-2.755 -4.782 6.064
-3.262 -2.580 3.755
-1.455 0.556 -0.223
```

# 5
Compound: BaZn
Source: the Alexandria database
Functional: GGA-PBEsol
Structure: optimized geometry

The calculated total energy comes out at -1.99 eV/atom.

Geometry as POSCAR:
```
BaZn
1.0
-3.101 -4.572 -1.302
1.027 -2.855 -4.794
3.931 -6.591 1.406
Zn Ba
3 3
Cartesian
1.330 -10.585 -3.115
-0.288 -9.145 -4.318
-0.982 -5.435 -3.317
4.546 -9.207 -3.244
0.401 -3.576 -0.770
1.215 -7.391 -1.684
```

# 6
Compound: InReAu3
Source: the Alexandria database
Functional: GGA-PBEsol
Structure: optimized geometry

The calculated total energy comes out at -3.82 eV/atom.

Geometry as POSCAR:
```
InReAu3
1.0
4.995 0.000 0.000
0.000 4.995 0.000
0.000 0.000 4.995
Re Au In
1 3 1
Cartesian
2.497 2.497 2.497
0.000 2.497 0.000
0.000 0.000 2.497
2.497 0.000 0.000
0.000 0.000 0.000
```

# 7
Compound: CaLaY2
Source: the Alexandria database
Functional: GGA-PBEsol
Structure: optimized geometry

The calculated total energy comes out at -5.20 eV/atom.

Geometry as POSCAR:
```
CaLaY2
1.0
3.615 0.000 0.000
0.000 6.226 0.008
0.000 -2.074 5.870
Y Ca La
2 1 1
Cartesian
0.000 3.113 0.004
0.000 -1.037 2.935
1.807 0.000 0.000
1.807 2.076 2.939
```

# 8
Compound: TlRe2Os
Source: the Alexandria database
Functional: GGA-PBEsol
Structure: optimized geometry

The calculated total energy comes out at -9.46 eV/atom.

Geometry as POSCAR:
```
TlRe2Os
1.0
2.790 0.000 0.000
0.000 4.677 0.000
-1.395 -2.339 5.082
Os Re Tl
1 2 1
Cartesian
0.000 2.339 2.832
1.395 2.339 4.993
1.395 0.000 2.218
1.395 2.339 0.122
```